(1)
## ScIn2Cu (meta-GGA SCAN)

Data for a PBEsol-optimized structure of ScIn2Cu.

ΔH_f (0 K) in eV per atom: -0.256

Lattice parameters (Å, degrees): 3.173 3.173 7.497 90.00 90.00 90.00
Fractional positions:
In: 0.000 0.000 0.718
Sc: 0.500 0.500 0.000
In: 0.000 0.000 0.282
Cu: 0.500 0.500 0.500

(2)
## InSiRu (meta-GGA SCAN)

Data for a PBEsol-optimized structure of InSiRu.

Lattice parameters (Å, degrees): 4.223 4.223 4.223 60.00 60.00 60.00
Fractional positions:
In: 0.500 0.500 0.500
Ru: 0.250 0.250 0.250
Si: 0.000 0.000 0.000

(3)
## FePtRh (meta-GGA SCAN)

Data for a PBEsol-optimized structure of FePtRh.

ΔH_f (0 K) in eV per atom: -0.225

Lattice parameters (Å, degrees): 2.689 2.689 5.824 103.34 103.34 90.00
Fractional positions:
Pt: 0.660 0.660 0.321
Rh: 0.343 0.343 0.686
Fe: 0.997 0.997 0.994

| no. | final energy (eV/atom) |
| --- | --- |
| 1 | -24.308 |
| 2 | -26.001 |
| 3 | -40.923 |